[1]
DFT (PBE-GGA) results for an optimized crystal structure of Tm2NiPb.

The calculation puts the magnetization at 0.00 μB/f.u. As for the energy of formation from the pure elements: -0.282 eV/atom. The calculation puts the density of states at the Fermi level at 2.24 states/eV per cell.

The structure belongs to space group P4/mmm (No. 123); the cell edges are 4.8772, 4.8772 and 3.9023 Å and the angles 90.00°, 90.00° and 90.00°. Symmetry generates all atoms from Tm at (0.0000, 0.5000, 0.0000), Ni at (0.0000, 0.0000, 0.5000) and Pb at (0.5000, 0.5000, 0.5000).


[2]
DFT (PBE-GGA) results for an optimized crystal structure of Tm6NiPb.

The calculation puts the magnetization at 0.00 μB/f.u. As for the energy of formation from the pure elements: -0.007 eV/atom. The calculation puts the density of states at the Fermi level at 11.23 states/eV per cell.

The structure belongs to space group P-1 (No. 2); the cell edges are 6.7279, 6.7407 and 7.3769 Å and the angles 90.16°, 116.95° and 119.89°. Symmetry generates all atoms from Tm at (0.0553, 0.0846, 0.2638), Tm at (0.2928, 0.7082, 0.2634), Tm at (0.3194, 0.5286, 0.7367), Ni at (0.5000, 0.5000, 0.5000) and Pb at (0.5000, 0.0000, 0.0000).


[3]
DFT (PBE-GGA) results for an optimized crystal structure of Tm3NiPb.

The calculation puts the magnetization at 0.00 μB/f.u. As for the energy of formation from the pure elements: -0.299 eV/atom. The value obtained for the energy above the lowest structure with this stoichiometry is 2.74 kcal/mol of atoms. The calculation puts the density of states at the Fermi level at 5.93 states/eV per cell.

The structure belongs to space group Pm-3m (No. 221); the cell edges are 5.1322, 5.1322 and 5.1322 Å and the angles 90.00°, 90.00° and 90.00°. Symmetry generates all atoms from Tm at (0.0000, 0.0000, 0.5000), Ni at (0.0000, 0.0000, 0.0000) and Pb at (0.5000, 0.5000, 0.5000).


[4]
DFT (PBE-GGA) results for an optimized crystal structure of Tm4NiPb.

The calculation puts the magnetization at 0.00 μB/f.u. As for the energy of formation from the pure elements: -0.322 eV/atom. The value obtained for the energy above the lowest structure with this stoichiometry is 0.72 kcal/mol of atoms. The calculation puts the density of states at the Fermi level at 23.33 states/eV per cell.

The structure belongs to space group C2/c (No. 15); the cell edges are 8.6603, 12.7878 and 6.0303 Å and the angles 90.00°, 108.42° and 90.00°. Symmetry generates all atoms from Tm at (0.1097, 0.1626, 0.0515), Tm at (0.2155, 0.4176, 0.3847), Ni at (0.0000, 0.0006, 0.2500) and Pb at (0.0000, 0.3737, 0.7500).


[5]
DFT (PBE-GGA) results for an optimized crystal structure of Tm3NiPb.

The calculation puts the magnetization at 0.00 μB/f.u. As for the energy of formation from the pure elements: -0.361 eV/atom. The value obtained for the energy above the lowest structure with this stoichiometry is 1.30 kcal/mol of atoms. The calculation puts the density of states at the Fermi level at 6.43 states/eV per cell.

The structure belongs to space group Pmmn (No. 59, origin choice 2); the cell edges are 4.6431, 6.6441 and 8.3592 Å and the angles 90.00°, 90.00° and 90.00°. Symmetry generates all atoms from Tm at (0.2500, 0.0031, 0.1521), Tm at (0.2500, 0.7500, 0.5852), Ni at (0.2500, 0.7500, 0.8998) and Pb at (0.2500, 0.2500, 0.6586).


[6]
DFT (PBE-GGA) results for an optimized crystal structure of Tm3Ni2Pb3.

The calculation puts the magnetization at 0.00 μB/f.u. As for the energy of formation from the pure elements: -0.393 eV/atom. The calculation puts the density of states at the Fermi level at 11.27 states/eV per cell.

The structure belongs to space group Cmcm (No. 63); the cell edges are 4.4898, 10.8687 and 14.9991 Å and the angles 90.00°, 90.00° and 90.00°. Symmetry generates all atoms from Tm at (0.0000, 0.0724, 0.1123), Tm at (0.0000, 0.3520, 0.2500), Ni at (0.0000, 0.1949, 0.6138), Pb at (0.0000, 0.3549, 0.7500) and Pb at (0.0000, 0.3637, 0.0344).